Li2FeBr: optimized geometry, GGA-PBE.

## Properties
total moment	0.7244	μB/atom
E_tot	-3.55	eV/atom
energy relative to the lowest polymorph listed for this composition	55.6	meV per atom

a = 3.380 Å, b = 6.393 Å, c = 6.393 Å
α = 31.21°, β = 90.00°, γ = 90.00°
Element x y z (fractional)
Li 0.000 0.000 0.000
Li 0.500 0.369 0.369
Fe 0.500 0.603 0.603
Br 0.000 0.781 0.781

***

Li2FeBrN: optimized geometry, GGA-PBE.

## Properties
total moment	0.8006	μB/atom
E_tot	-3.52	eV/atom

a = 4.512 Å, b = 4.512 Å, c = 4.590 Å
α = 90.00°, β = 90.00°, γ = 90.00°
Element x y z (fractional)
Li 0.000 0.500 0.000
Li 0.500 0.000 0.000
Fe 0.000 0.000 0.500
Br 0.000 0.000 0.000
N 0.500 0.500 0.500

***

Li5FeBrN2: optimized geometry, GGA-PBE.

## Properties
total moment	0.0023	μB/atom
E_tot	-4.60	eV/atom

a = 4.191 Å, b = 4.191 Å, c = 7.418 Å
α = 90.00°, β = 90.00°, γ = 90.00°
Element x y z (fractional)
Li 0.000 0.000 0.000
Li 0.000 0.500 0.292
Li 0.000 0.500 0.708
Li 0.500 0.000 0.292
Li 0.500 0.000 0.708
Fe 0.000 0.000 0.500
Br 0.500 0.500 0.000
N 0.000 0.000 0.273
N 0.000 0.000 0.727

***

NaLiFeBr4: optimized geometry, GGA-PBE.

## Properties
total moment	0.5714	μB/atom
E_tot	-3.66	eV/atom

a = 7.135 Å, b = 7.135 Å, c = 7.135 Å
α = 125.26°, β = 125.26°, γ = 81.11°
Element x y z (fractional)
Na 0.000 0.000 0.000
Li 0.500 0.500 0.000
Fe 0.250 0.750 0.500
Br 0.169 0.629 0.056
Br 0.371 0.427 0.541
Br 0.573 0.113 0.944
Br 0.887 0.831 0.459

***

LiFe2OsBr: optimized geometry, GGA-PBE.

## Properties
total moment	0.0005	μB/atom
E_tot	-4.52	eV/atom

a = 4.022 Å, b = 4.022 Å, c = 4.092 Å
α = 90.00°, β = 90.00°, γ = 90.00°
Element x y z (fractional)
Li 0.000 0.000 0.000
Fe 0.000 0.500 0.000
Fe 0.500 0.000 0.000
Os 0.500 0.500 0.500
Br 0.000 0.000 0.500

***

RbLiFeBr4: optimized geometry, GGA-PBE.

## Properties
total moment	0.5714	μB/atom
E_tot	-3.68	eV/atom

a = 7.103 Å, b = 7.103 Å, c = 7.103 Å
α = 116.93°, β = 116.93°, γ = 95.40°
Element x y z (fractional)
Rb 0.000 0.000 0.000
Li 0.500 0.500 0.000
Fe 0.250 0.750 0.500
Br 0.201 0.602 0.087
Br 0.398 0.485 0.598
Br 0.515 0.114 0.913
Br 0.886 0.799 0.402

***

RbLiFe2Br6: optimized geometry, GGA-PBE.

## Properties
total moment	0.8000	μB/atom
E_tot	-3.87	eV/atom

a = 9.428 Å, b = 9.428 Å, c = 7.559 Å
α = 102.80°, β = 102.80°, γ = 84.27°
Element x y z (fractional)
Rb 0.193 0.807 0.750
Rb 0.807 0.193 0.250
Li 0.408 0.592 0.250
Li 0.592 0.408 0.750
Fe 0.121 0.307 0.781
Fe 0.307 0.121 0.281
Fe 0.693 0.879 0.719
Fe 0.879 0.693 0.219
Br 0.110 0.167 0.018
Br 0.120 0.587 0.311
Br 0.167 0.110 0.518
Br 0.317 0.472 0.877
Br 0.413 0.880 0.189
Br 0.472 0.317 0.377
Br 0.528 0.683 0.623
Br 0.587 0.120 0.811
Br 0.683 0.528 0.123
Br 0.833 0.890 0.482
Br 0.880 0.413 0.689
Br 0.890 0.833 0.982

***

Rb2LiFeBr6: optimized geometry, GGA-PBE.

## Properties
total moment	0.0979	μB/atom
E_tot	-3.36	eV/atom

a = 7.444 Å, b = 7.444 Å, c = 6.458 Å
α = 90.00°, β = 90.00°, γ = 120.00°
Element x y z (fractional)
Rb 0.333 0.667 0.287
Rb 0.667 0.333 0.713
Li 0.000 0.000 0.000
Fe 0.000 0.000 0.500
Br 0.155 0.310 0.723
Br 0.155 0.845 0.723
Br 0.310 0.155 0.277
Br 0.690 0.845 0.723
Br 0.845 0.155 0.277
Br 0.845 0.690 0.277

***

LiFeRuBr2: optimized geometry, GGA-PBE.

## Properties
total moment	0.8607	μB/atom
E_tot	-4.19	eV/atom

a = 5.193 Å, b = 5.193 Å, c = 4.649 Å
α = 90.00°, β = 90.00°, γ = 90.00°
Element x y z (fractional)
Li 0.000 0.000 0.000
Fe 0.500 0.500 0.000
Ru 0.500 0.500 0.500
Br 0.000 0.500 0.500
Br 0.500 0.000 0.500

***

LiFe2SBr: optimized geometry, GGA-PBE.

## Properties
total moment	1.2000	μB/atom
E_tot	-4.33	eV/atom

a = 4.553 Å, b = 4.553 Å, c = 4.612 Å
α = 90.00°, β = 90.00°, γ = 90.00°
Element x y z (fractional)
Li 0.000 0.000 0.000
Fe 0.000 0.500 0.500
Fe 0.500 0.000 0.500
S 0.500 0.500 0.000
Br 0.000 0.000 0.500

***

LiSc2FeBr: optimized geometry, GGA-PBE.

## Properties
total moment	0.0180	μB/atom
E_tot	-4.11	eV/atom

a = 4.943 Å, b = 4.943 Å, c = 4.111 Å
α = 90.00°, β = 90.00°, γ = 90.00°
Element x y z (fractional)
Li 0.000 0.000 0.000
Sc 0.000 0.500 0.000
Sc 0.500 0.000 0.000
Fe 0.500 0.500 0.500
Br 0.000 0.000 0.500

***

LiFeSeBr2: optimized geometry, GGA-PBE.

## Properties
total moment	0.0250	μB/atom
E_tot	-3.68	eV/atom
energy relative to the lowest polymorph listed for this composition	0.0	meV per atom

a = 5.225 Å, b = 5.225 Å, c = 4.431 Å
α = 90.00°, β = 90.00°, γ = 90.00°
Element x y z (fractional)
Li 0.000 0.000 0.000
Fe 0.500 0.500 0.500
Se 0.500 0.500 0.000
Br 0.000 0.500 0.500
Br 0.500 0.000 0.500

***

Listing formation energy without anion corrections for the structures above in their given order: -0.057, 0.936, -0.557, -1.032, 1.829, -1.105, -0.883, -1.128, 0.409, 0.596, 0.829, -0.242 eV/atom.
Listing Fermi-level density of states for the structures above in their given order: 1.6, 3.7, 0.5, 6.8, 8.0, 5.8, 20.5, 10.2, 5.4, 4.7, 6.8, 7.2 states/eV per cell.